1.
The following is a DFT calculation (PBE) of ScCdP2 after structural relaxation.

Cell and atoms, written as CIF:
```
data_ScCdP2
_chemical_formula_sum 'Sc1 Cd1 P2'
_cell_length_a 3.832
_cell_length_b 3.832
_cell_length_c 5.406
_cell_angle_alpha 90.00
_cell_angle_beta 90.00
_cell_angle_gamma 90.00
_space_group_name_H-M_alt 'P 4/m m m'
_space_group_IT_number 123
_space_group_name_Hall '-P 4 2'
loop_
_atom_site_label
_atom_site_type_symbol
_atom_site_fract_x
_atom_site_fract_y
_atom_site_fract_z
Sc1 Sc 0.000 0.000 0.000
Cd1 Cd 0.500 0.500 0.500
P1 P 0.000 0.000 0.500
P2 P 0.500 0.500 0.000
```

Output
Volume = 19.8 Å³/atom
ΔE_f = -0.53 eV/atom



2.
The following is a DFT calculation (PBE) of La2Pm2Ni after structural relaxation.

Cell and atoms, written as CIF:
```
data_La2Pm2Ni
_chemical_formula_sum 'La8 Pm8 Ni4'
_cell_length_a 7.679
_cell_length_b 11.917
_cell_length_c 7.451
_cell_angle_alpha 90.00
_cell_angle_beta 113.79
_cell_angle_gamma 90.00
_space_group_name_H-M_alt 'C 1 2/m 1'
_space_group_IT_number 12
loop_
_space_group_symop_operation_xyz
'x,y,z'
'-x,-y,-z'
'-x,y,-z'
'x,-y,z'
'x+1/2,y+1/2,z'
'-x+1/2,-y+1/2,-z'
'-x+1/2,y+1/2,-z'
'x+1/2,-y+1/2,z'
loop_
_atom_site_label
_atom_site_type_symbol
_atom_site_fract_x
_atom_site_fract_y
_atom_site_fract_z
La1 La 0.229 0.000 0.402
La2 La 0.242 0.500 0.113
Pm1 Pm 0.047 0.273 0.761
Ni1 Ni 0.000 0.112 0.000
```

Output
Volume = 31.2 Å³/atom
ΔE_f = -0.08 eV/atom



3.
The following is a DFT calculation (PBE) of LaTb2Sm6Ho after structural relaxation.

Cell and atoms, written as CIF:
```
data_LaTb2Sm6Ho
_chemical_formula_sum 'La4 Tb8 Sm24 Ho4'
_cell_length_a 9.257
_cell_length_b 15.248
_cell_length_c 9.685
_cell_angle_alpha 90.00
_cell_angle_beta 96.78
_cell_angle_gamma 90.00
_space_group_name_H-M_alt 'C 1 2/c 1'
_space_group_IT_number 15
loop_
_space_group_symop_operation_xyz
'x,y,z'
'-x,-y,-z'
'-x,y,-z+1/2'
'x,-y,z+1/2'
'x+1/2,y+1/2,z'
'-x+1/2,-y+1/2,-z'
'-x+1/2,y+1/2,-z+1/2'
'x+1/2,-y+1/2,z+1/2'
loop_
_atom_site_label
_atom_site_type_symbol
_atom_site_fract_x
_atom_site_fract_y
_atom_site_fract_z
La1 La 0.000 0.027 0.250
Tb1 Tb 0.248 0.449 0.452
Sm1 Sm 0.064 0.184 0.944
Sm2 Sm 0.098 0.392 0.118
Sm3 Sm 0.212 0.226 0.316
Ho1 Ho 0.000 0.410 0.750
```

Output
Volume = 33.9 Å³/atom
ΔE_f = 0.12 eV/atom



4.
The following is a DFT calculation (PBE) of CaNb4 after structural relaxation.

Cell and atoms, written as CIF:
```
data_CaNb4
_chemical_formula_sum 'Ca1 Nb4'
_cell_length_a 4.731
_cell_length_b 4.731
_cell_length_c 4.731
_cell_angle_alpha 90.00
_cell_angle_beta 90.00
_cell_angle_gamma 90.00
_space_group_name_H-M_alt 'P m -3 m'
_space_group_IT_number 221
_space_group_name_Hall '-P 4 2 3'
loop_
_atom_site_label
_atom_site_type_symbol
_atom_site_fract_x
_atom_site_fract_y
_atom_site_fract_z
Ca1 Ca 0.000 0.000 0.000
Nb1 Nb 0.000 0.000 0.500
Nb2 Nb 0.500 0.500 0.500
```

Output
Volume = 21.2 Å³/atom
ΔE_f = 2.22 eV/atom



5.
The following is a DFT calculation (PBE) of LaScBi3 after structural relaxation.

Cell and atoms, written as CIF:
```
data_LaScBi3
_chemical_formula_sum 'La4 Sc4 Bi12'
_cell_length_a 14.047
_cell_length_b 6.489
_cell_length_c 6.761
_cell_angle_alpha 90.00
_cell_angle_beta 90.00
_cell_angle_gamma 90.00
_space_group_name_H-M_alt 'P b c m'
_space_group_IT_number 57
loop_
_space_group_symop_operation_xyz
'x,y,z'
'-x,-y,-z'
'-x,-y,z+1/2'
'x,y,-z+1/2'
'x,-y+1/2,-z'
'-x,y+1/2,z'
'-x,y+1/2,-z+1/2'
'x,-y+1/2,z+1/2'
loop_
_atom_site_label
_atom_site_type_symbol
_atom_site_fract_x
_atom_site_fract_y
_atom_site_fract_z
La1 La 0.183 0.010 0.250
Sc1 Sc 0.404 0.750 0.000
Bi1 Bi 0.003 0.750 0.000
Bi2 Bi 0.260 0.504 0.250
Bi3 Bi 0.427 0.130 0.250
```

Output
Volume = 30.8 Å³/atom
ΔE_f = -0.66 eV/atom



6.
The following is a DFT calculation (PBE) of Pb5Br after structural relaxation.

Cell and atoms, written as CIF:
```
data_Pb5Br
_chemical_formula_sum 'Pb10 Br2'
_cell_length_a 3.587
_cell_length_b 18.060
_cell_length_c 5.797
_cell_angle_alpha 90.00
_cell_angle_beta 90.00
_cell_angle_gamma 90.00
_space_group_name_H-M_alt 'C m m m'
_space_group_IT_number 65
_space_group_name_Hall '-C 2 2'
loop_
_atom_site_label
_atom_site_type_symbol
_atom_site_fract_x
_atom_site_fract_y
_atom_site_fract_z
Pb1 Pb 0.000 0.000 0.000
Pb2 Pb 0.000 0.170 0.500
Pb3 Pb 0.000 0.335 0.000
Br1 Br 0.000 0.500 0.500
```

Output
Volume = 31.3 Å³/atom
Uncorrected formation energy = -0.0894 eV/atom



7.
The following is a DFT calculation (PBE) of YSc2Rh after structural relaxation.

Cell and atoms, written as CIF:
```
data_YSc2Rh
_chemical_formula_sum 'Y3 Sc6 Rh3'
_cell_length_a 3.4776
_cell_length_b 3.4776
_cell_length_c 27.7387
_cell_angle_alpha 90.00
_cell_angle_beta 90.00
_cell_angle_gamma 120.00
_space_group_name_H-M_alt 'R -3 m'
_space_group_IT_number 166
_space_group_name_Hall '-R 3 2"'
loop_
_atom_site_label
_atom_site_type_symbol
_atom_site_fract_x
_atom_site_fract_y
_atom_site_fract_z
Y1 Y 0.0000 0.0000 0.0000
Sc1 Sc 0.0000 0.0000 0.2278
Rh1 Rh 0.0000 0.0000 0.5000
```

Output
Volume = 24.2 Å³/atom
ΔE_f = -0.28 eV/atom



8.
The following is a DFT calculation (PBE) of ZnHgS2N after structural relaxation.

Cell and atoms, written as CIF:
```
data_ZnHgS2N
_chemical_formula_sum 'Zn1 Hg1 S2 N1'
_cell_length_a 5.152
_cell_length_b 5.152
_cell_length_c 4.126
_cell_angle_alpha 90.00
_cell_angle_beta 90.00
_cell_angle_gamma 90.00
_space_group_name_H-M_alt 'P 4/m m m'
_space_group_IT_number 123
_space_group_name_Hall '-P 4 2'
loop_
_atom_site_label
_atom_site_type_symbol
_atom_site_fract_x
_atom_site_fract_y
_atom_site_fract_z
Zn1 Zn 0.000 0.000 0.000
Hg1 Hg 0.500 0.500 0.500
S1 S 0.000 0.500 0.500
N1 N 0.500 0.500 0.000
```

Output
Volume = 21.9 Å³/atom
Uncorrected formation energy = 1.3504 eV/atom



9.
The following is a DFT calculation (PBE) of Ba2SrAl after structural relaxation.

Cell and atoms, written as CIF:
```
data_Ba2SrAl
_chemical_formula_sum 'Ba6 Sr3 Al3'
_cell_length_a 4.3219
_cell_length_b 4.3219
_cell_length_c 37.0966
_cell_angle_alpha 90.00
_cell_angle_beta 90.00
_cell_angle_gamma 120.00
_space_group_name_H-M_alt 'R 3 m'
_space_group_IT_number 160
_space_group_name_Hall 'R 3 -2"'
loop_
_atom_site_label
_atom_site_type_symbol
_atom_site_fract_x
_atom_site_fract_y
_atom_site_fract_z
Ba1 Ba 0.0000 0.0000 0.0000
Ba2 Ba 0.0000 0.0000 0.2282
Sr1 Sr 0.0000 0.0000 0.7678
Al1 Al 0.0000 0.0000 0.4961
```

Output
Volume = 50.0 Å³/atom
ΔE_f = 0.09 eV/atom



10.
The following is a DFT calculation (PBE) of Ca3Ho3CdSe8 after structural relaxation.

Cell and atoms, written as CIF:
```
data_Ca3Ho3CdSe8
_chemical_formula_sum 'Ca9 Ho9 Cd3 Se24'
_cell_length_a 8.1924
_cell_length_b 8.1924
_cell_length_c 20.4236
_cell_angle_alpha 90.00
_cell_angle_beta 90.00
_cell_angle_gamma 120.00
_space_group_name_H-M_alt 'R -3 m'
_space_group_IT_number 166
_space_group_name_Hall '-R 3 2"'
loop_
_atom_site_label
_atom_site_type_symbol
_atom_site_fract_x
_atom_site_fract_y
_atom_site_fract_z
Ca1 Ca 0.0000 0.5000 0.0000
Ho1 Ho 0.0000 0.5000 0.5000
Cd1 Cd 0.0000 0.0000 0.5000
Se1 Se 0.0000 0.0000 0.2475
Se2 Se 0.0034 0.5017 0.7534
```

Output
Volume = 26.4 Å³/atom
Uncorrected formation energy = -1.7146 eV/atom



11.
The following is a DFT calculation (PBE) of Zr2SbP2 after structural relaxation.

Cell and atoms, written as CIF:
```
data_Zr2SbP2
_chemical_formula_sum 'Zr4 Sb2 P4'
_cell_length_a 4.950
_cell_length_b 4.950
_cell_length_c 8.270
_cell_angle_alpha 90.00
_cell_angle_beta 90.00
_cell_angle_gamma 90.00
_space_group_name_H-M_alt 'I 4/m m m'
_space_group_IT_number 139
_space_group_name_Hall '-I 4 2'
loop_
_atom_site_label
_atom_site_type_symbol
_atom_site_fract_x
_atom_site_fract_y
_atom_site_fract_z
Zr1 Zr 0.000 0.500 0.250
Sb1 Sb 0.000 0.000 0.000
P1 P 0.000 0.000 0.365
```

Output
Volume = 20.3 Å³/atom
Uncorrected formation energy = -0.8532 eV/atom



12.
The following is a DFT calculation (PBE) of LaCu2H8Rh after structural relaxation.

Cell and atoms, written as CIF:
```
data_LaCu2H8Rh
_chemical_formula_sum 'La1 Cu2 H8 Rh1'
_cell_length_a 4.638
_cell_length_b 4.654
_cell_length_c 5.095
_cell_angle_alpha 91.83
_cell_angle_beta 90.63
_cell_angle_gamma 90.07
_space_group_name_H-M_alt 'P -1'
_space_group_IT_number 2
loop_
_space_group_symop_operation_xyz
'x,y,z'
'-x,-y,-z'
loop_
_atom_site_label
_atom_site_type_symbol
_atom_site_fract_x
_atom_site_fract_y
_atom_site_fract_z
La1 La 0.000 0.000 0.000
Cu1 Cu 0.496 0.496 0.761
H1 H 0.229 0.500 0.998
H2 H 0.242 0.238 0.591
H3 H 0.248 0.754 0.404
H4 H 0.498 0.872 0.807
Rh1 Rh 0.500 0.000 0.500
```

Output
Volume = 9.2 Å³/atom
DFT total energy = -0.1540 Ha/atom



> Look up the volume of the ninth one.

50.0 Å³/atom



> Look up the volume of the eighth one.

21.9 Å³/atom



Repeat the twelfth record exactly.
The following is a DFT calculation (PBE) of LaCu2H8Rh after structural relaxation.

Cell and atoms, written as CIF:
```
data_LaCu2H8Rh
_chemical_formula_sum 'La1 Cu2 H8 Rh1'
_cell_length_a 4.638
_cell_length_b 4.654
_cell_length_c 5.095
_cell_angle_alpha 91.83
_cell_angle_beta 90.63
_cell_angle_gamma 90.07
_space_group_name_H-M_alt 'P -1'
_space_group_IT_number 2
loop_
_space_group_symop_operation_xyz
'x,y,z'
'-x,-y,-z'
loop_
_atom_site_label
_atom_site_type_symbol
_atom_site_fract_x
_atom_site_fract_y
_atom_site_fract_z
La1 La 0.000 0.000 0.000
Cu1 Cu 0.496 0.496 0.761
H1 H 0.229 0.500 0.998
H2 H 0.242 0.238 0.591
H3 H 0.248 0.754 0.404
H4 H 0.498 0.872 0.807
Rh1 Rh 0.500 0.000 0.500
```

Output
Volume = 9.2 Å³/atom
DFT total energy = -0.1540 Ha/atom